(P)
# PmSmAu3 (PBE-GGA, relaxed)
# SG = No. 14
# total magnetization = 0.00 Bohr magnetons per cell
data_PmSmAu3
_chemical_formula_sum 'Pm4 Sm4 Au12'
_symmetry_space_group_name_H-M 'P 1'
_symmetry_Int_Tables_number 1
_cell_length_a 9.5543
_cell_length_b 6.4286
_cell_length_c 7.7678
_cell_angle_alpha 90.00
_cell_angle_beta 91.04
_cell_angle_gamma 90.00
loop_
_symmetry_equiv_pos_as_xyz
'x,y,z'
loop_
_atom_site_label
_atom_site_fract_x
_atom_site_fract_y
_atom_site_fract_z
Pm1 0.0925 0.1580 0.1863
Pm2 0.0925 0.3420 0.6863
Pm3 0.9075 0.6580 0.3137
Pm4 0.9075 0.8420 0.8137
Sm1 0.4159 0.6655 0.6810
Sm2 0.4159 0.8345 0.1810
Sm3 0.5841 0.1655 0.8190
Sm4 0.5841 0.3345 0.3190
Au1 0.1263 0.6371 0.0323
Au2 0.1263 0.8629 0.5323
Au3 0.2521 0.5035 0.3703
Au4 0.2521 0.9965 0.8703
Au5 0.3683 0.1270 0.5257
Au6 0.3683 0.3730 0.0257
Au7 0.6317 0.6270 0.9743
Au8 0.6317 0.8730 0.4743
Au9 0.7479 0.0035 0.1297
Au10 0.7479 0.4965 0.6297
Au11 0.8737 0.1371 0.4677
Au12 0.8737 0.3629 0.9677

***

(Q)
# PmSmAu3 (PBE-GGA, relaxed)
# SG = No. 166
# total magnetization = 0.00 Bohr magnetons per cell
data_PmSmAu3
_chemical_formula_sum 'Pm2 Sm2 Au6'
_symmetry_space_group_name_H-M 'P 1'
_symmetry_Int_Tables_number 1
_cell_length_a 8.0447
_cell_length_b 8.0447
_cell_length_c 8.0447
_cell_angle_alpha 47.76
_cell_angle_beta 47.76
_cell_angle_gamma 47.76
loop_
_symmetry_equiv_pos_as_xyz
'x,y,z'
loop_
_atom_site_label
_atom_site_fract_x
_atom_site_fract_y
_atom_site_fract_z
Pm1 0.1127 0.1127 0.1127
Pm2 0.8873 0.8873 0.8873
Sm1 0.3230 0.3230 0.3230
Sm2 0.6770 0.6770 0.6770
Au1 0.1399 0.5939 0.5939
Au2 0.4061 0.4061 0.8601
Au3 0.4061 0.8601 0.4061
Au4 0.5939 0.1399 0.5939
Au5 0.5939 0.5939 0.1399
Au6 0.8601 0.4061 0.4061

***

Which of them is the least stable? Correct choice: (Q).

***

(P)
# PmSmAu (PBE-GGA, relaxed)
# SG = No. 129
# total magnetization = 0.00 Bohr magnetons per cell
data_PmSmAu
_chemical_formula_sum 'Pm2 Sm2 Au2'
_symmetry_space_group_name_H-M 'P 1'
_symmetry_Int_Tables_number 1
_cell_length_a 4.7072
_cell_length_b 4.7072
_cell_length_c 7.7941
_cell_angle_alpha 90.00
_cell_angle_beta 90.00
_cell_angle_gamma 90.00
loop_
_symmetry_equiv_pos_as_xyz
'x,y,z'
loop_
_atom_site_label
_atom_site_fract_x
_atom_site_fract_y
_atom_site_fract_z
Pm1 0.2500 0.7500 0.0000
Pm2 0.7500 0.2500 0.0000
Sm1 0.2500 0.2500 0.3697
Sm2 0.7500 0.7500 0.6303
Au1 0.2500 0.2500 0.7380
Au2 0.7500 0.7500 0.2620

***

(Q)
# PmSmAu (PBE-GGA, relaxed)
# SG = No. 107
# total magnetization = 0.68 Bohr magnetons per cell
data_PmSmAu
_chemical_formula_sum 'Pm1 Sm1 Au1'
_symmetry_space_group_name_H-M 'P 1'
_symmetry_Int_Tables_number 1
_cell_length_a 6.7918
_cell_length_b 6.7918
_cell_length_c 6.7918
_cell_angle_alpha 148.46
_cell_angle_beta 148.46
_cell_angle_gamma 45.21
loop_
_symmetry_equiv_pos_as_xyz
'x,y,z'
loop_
_atom_site_label
_atom_site_fract_x
_atom_site_fract_y
_atom_site_fract_z
Pm1 0.0000 0.0000 0.0000
Sm1 0.2887 0.2887 0.0000
Au1 0.6470 0.6470 0.0000

***

(R)
# PmSmAu (PBE-GGA, relaxed)
# SG = No. 156
# total magnetization = 0.00 Bohr magnetons per cell
data_PmSmAu
_chemical_formula_sum 'Pm1 Sm1 Au1'
_symmetry_space_group_name_H-M 'P 1'
_symmetry_Int_Tables_number 1
_cell_length_a 4.9791
_cell_length_b 4.9791
_cell_length_c 3.9184
_cell_angle_alpha 90.00
_cell_angle_beta 90.00
_cell_angle_gamma 120.00
loop_
_symmetry_equiv_pos_as_xyz
'x,y,z'
loop_
_atom_site_label
_atom_site_fract_x
_atom_site_fract_y
_atom_site_fract_z
Pm1 0.0000 0.0000 0.0000
Sm1 0.3333 0.6667 0.4511
Au1 0.6667 0.3333 0.7170

***

(S)
# PmSmAu (PBE-GGA, relaxed)
# SG = No. 62
# total magnetization = 0.00 Bohr magnetons per cell
data_PmSmAu
_chemical_formula_sum 'Pm4 Sm4 Au4'
_symmetry_space_group_name_H-M 'P 1'
_symmetry_Int_Tables_number 1
_cell_length_a 7.2365
_cell_length_b 5.0917
_cell_length_c 9.2297
_cell_angle_alpha 90.00
_cell_angle_beta 90.00
_cell_angle_gamma 90.00
loop_
_symmetry_equiv_pos_as_xyz
'x,y,z'
loop_
_atom_site_label
_atom_site_fract_x
_atom_site_fract_y
_atom_site_fract_z
Pm1 0.1517 0.2500 0.0849
Pm2 0.3483 0.7500 0.5849
Pm3 0.6517 0.2500 0.4151
Pm4 0.8483 0.7500 0.9151
Sm1 0.0080 0.2500 0.6759
Sm2 0.4920 0.7500 0.1759
Sm3 0.5080 0.2500 0.8241
Sm4 0.9920 0.7500 0.3241
Au1 0.2389 0.2500 0.4039
Au2 0.2611 0.7500 0.9039
Au3 0.7389 0.2500 0.0961
Au4 0.7611 0.7500 0.5961

***

Which of them is the least stable? Correct choice: (R).